The following is a PBE-GGA calculation of a relaxed structure of Sr2PrAgSe4, from Alexandria.

Calculated values
* ρ: 5.32 Mg/m³
* DFT total energy: -4.69 eV per atom
* total magnetic moment: 0.0 μB per formula unit
* raw formation energy: -1.57 eV per atom

Cell lengths 4.364, 7.499, 7.517 Å; angles 110.19, 90.00, 90.00 degrees
Atoms (fractional coordinates):
Sr1 0.500 0.000 0.500
Sr2 0.000 0.500 0.500
Pr1 0.500 0.500 0.000
Ag1 0.000 0.000 0.000
Se1 0.500 0.245 0.233
Se2 0.500 0.755 0.767
Se3 0.000 0.259 0.758
Se4 0.000 0.741 0.242